(1)
{"formula": "Sr5PmSb4", "functional": "GGA-PBE", "state": "optimized geometry", "lattice_angstrom": [[-2.740, -0.582, 3.993], [-3.621, -7.185, -3.533], [10.045, -1.514, 3.694]], "species": ["Sr", "Sr", "Sr", "Sr", "Sr", "Sb", "Sb", "Sb", "Sb", "Pm"], "fractional_positions": [[0.167, 0.924, 0.335], [0.833, 0.076, 0.665], [0.833, 0.589, 0.666], [0.500, 0.500, 0.000], [0.167, 0.411, 0.334], [0.000, 0.757, 0.000], [0.000, 0.243, 0.000], [0.693, 0.194, 0.387], [0.307, 0.806, 0.613], [0.500, 0.000, 0.000]], "total_magnetization_mub_per_cell": 1.02, "sg": "C2/m, No. 12", "formation_energy_uncorrected_ev_per_atom": -0.90, "total_energy_ev_per_cell": -38.61}

=====

(2)
{"formula": "Sr3PmTh2Sb6", "functional": "GGA-PBE", "state": "optimized geometry", "lattice_angstrom": [[7.989, -0.001, 0.000], [-3.994, 6.919, 0.000], [-1.333, -2.307, 7.672]], "species": ["Sb", "Sb", "Sb", "Sb", "Sb", "Sb", "Sr", "Sr", "Sr", "Pm", "Th", "Th"], "fractional_positions": [[0.077, 0.412, 0.231], [0.588, 0.923, 0.769], [0.742, 0.742, 0.231], [0.412, 0.077, 0.231], [0.258, 0.258, 0.769], [0.923, 0.588, 0.769], [0.500, 0.500, 0.500], [0.166, 0.834, 0.500], [0.834, 0.166, 0.500], [0.000, 0.000, 0.000], [0.667, 0.333, 0.000], [0.333, 0.667, 0.000]], "total_magnetization_mub_per_cell": 0.00, "sg": "C2/m, No. 12", "formation_energy_uncorrected_ev_per_atom": -1.01, "total_energy_ev_per_cell": -61.44}

=====

(3)
{"formula": "Pm2TaSb", "functional": "GGA-PBE", "state": "optimized geometry", "lattice_angstrom": [[4.330, 0.000, 0.000], [0.000, 4.891, 0.000], [0.000, 0.000, 4.891]], "species": ["Pm", "Pm", "Ta", "Sb"], "fractional_positions": [[0.000, 0.500, 0.000], [0.000, 0.000, 0.500], [0.500, 0.500, 0.500], [0.500, 0.000, 0.000]], "total_magnetization_mub_per_cell": 1.14, "sg": "P4/mmm, No. 123", "formation_energy_uncorrected_ev_per_atom": -0.06, "total_energy_ev_per_cell": -25.70}

=====

(4)
{"formula": "TbPm2Sb3", "functional": "GGA-PBE", "state": "optimized geometry", "lattice_angstrom": [[4.274, 0.000, -1.294], [-0.782, 5.703, -2.582], [0.007, 0.010, 7.728]], "species": ["Pm", "Pm", "Tb", "Sb", "Sb", "Sb"], "fractional_positions": [[0.832, 0.832, 0.165], [0.168, 0.168, 0.835], [0.500, 0.500, 0.500], [0.837, 0.337, 0.173], [0.163, 0.663, 0.827], [0.500, 0.000, 0.500]], "total_magnetization_mub_per_cell": 0.00, "sg": "Immm, No. 71", "formation_energy_uncorrected_ev_per_atom": -1.17, "total_energy_ev_per_cell": -33.53}

=====

(5)
{"formula": "Tb2PmSb", "functional": "GGA-PBE", "state": "optimized geometry", "lattice_angstrom": [[-0.195, 2.202, -3.487], [-3.457, -5.442, -0.799], [-7.927, 4.549, 3.315]], "species": ["Tb", "Tb", "Tb", "Tb", "Sb", "Sb", "Pm", "Pm"], "fractional_positions": [[0.638, 0.276, 0.042], [0.362, 0.724, 0.542], [0.638, 0.276, 0.458], [0.362, 0.724, 0.958], [0.237, 0.474, 0.250], [0.763, 0.526, 0.750], [0.058, 0.116, 0.750], [0.942, 0.884, 0.250]], "total_magnetization_mub_per_cell": 0.93, "de_polymorph_ev_per_fu": 0.00, "sg": "Cmcm, No. 63", "formation_energy_uncorrected_ev_per_atom": -0.56, "total_energy_ev_per_cell": -40.79}

=====

(6)
{"formula": "TbPm3Sb4", "functional": "GGA-PBE", "state": "optimized geometry", "lattice_angstrom": [[4.472, 0.000, 0.000], [0.000, 7.742, -0.074], [0.000, -2.511, 7.324]], "species": ["Tb", "Pm", "Pm", "Pm", "Sb", "Sb", "Sb", "Sb"], "fractional_positions": [[0.500, 0.000, 0.000], [0.500, 0.500, 0.500], [0.000, 0.500, 0.000], [0.000, 0.000, 0.500], [0.500, 0.752, 0.248], [0.000, 0.754, 0.754], [0.000, 0.246, 0.246], [0.500, 0.248, 0.752]], "total_magnetization_mub_per_cell": 0.00, "de_polymorph_ev_per_fu": 0.03, "sg": "Cmmm, No. 65", "formation_energy_uncorrected_ev_per_atom": -1.18, "total_energy_ev_per_cell": -44.78}

=====

(7)
{"formula": "Tb5Pm3Sb8", "functional": "GGA-PBE", "state": "optimized geometry", "lattice_angstrom": [[-1.578, 0.275, 8.729], [6.096, -3.003, 5.708], [4.457, 5.699, 5.137]], "species": ["Sb", "Sb", "Sb", "Sb", "Sb", "Sb", "Sb", "Sb", "Tb", "Tb", "Tb", "Tb", "Tb", "Pm", "Pm", "Pm"], "fractional_positions": [[0.250, 0.250, 0.754], [0.252, 0.252, 0.244], [0.254, 0.750, 0.246], [0.750, 0.254, 0.246], [0.746, 0.250, 0.754], [0.748, 0.748, 0.756], [0.750, 0.750, 0.246], [0.250, 0.746, 0.754], [0.000, 0.500, 0.000], [0.500, 0.500, 0.500], [0.500, 0.000, 0.000], [0.500, 0.500, 0.000], [0.000, 0.000, 0.000], [0.500, 0.000, 0.500], [0.000, 0.500, 0.500], [0.000, 0.000, 0.500]], "total_magnetization_mub_per_cell": 0.00, "sg": "R-3m, No. 166", "formation_energy_uncorrected_ev_per_atom": -1.16, "total_energy_ev_per_cell": -88.96}

=====

(8)
{"formula": "TbPm3Sb2", "functional": "GGA-PBE", "state": "optimized geometry", "lattice_angstrom": [[4.552, 0.000, 0.000], [0.000, 4.552, 0.000], [0.000, 0.000, 8.737]], "species": ["Pm", "Pm", "Pm", "Sb", "Sb", "Tb"], "fractional_positions": [[0.500, 0.000, 0.354], [0.000, 0.000, 0.000], [0.000, 0.500, 0.646], [0.500, 0.000, 0.723], [0.000, 0.500, 0.277], [0.500, 0.500, 0.000]], "total_magnetization_mub_per_cell": 0.00, "de_polymorph_ev_per_fu": 0.00, "sg": "P-4m2, No. 115", "formation_energy_uncorrected_ev_per_atom": -0.83, "total_energy_ev_per_cell": -32.11}

=====

(9)
{"formula": "Tb2PmSb", "functional": "GGA-PBE", "state": "optimized geometry", "lattice_angstrom": [[-2.790, 0.255, 2.897], [-2.517, -3.080, 0.651], [4.432, -4.677, 7.483]], "species": ["Tb", "Tb", "Sb", "Pm"], "fractional_positions": [[0.067, 0.067, 0.799], [0.266, 0.266, 0.201], [0.666, 0.666, 0.001], [0.500, 0.500, 0.499]], "total_magnetization_mub_per_cell": 0.75, "de_polymorph_ev_per_fu": 0.86, "sg": "R3m, No. 160", "formation_energy_uncorrected_ev_per_atom": -0.35, "total_energy_ev_per_cell": -19.53}

=====

(10)
{"formula": "Tb5Pm2Sb4", "functional": "GGA-PBE", "state": "optimized geometry", "lattice_angstrom": [[-3.639, 1.087, 1.422], [-3.062, -2.942, -5.588], [0.704, -12.021, 5.210]], "species": ["Tb", "Tb", "Tb", "Tb", "Tb", "Sb", "Sb", "Sb", "Sb", "Pm", "Pm"], "fractional_positions": [[0.143, 0.805, 0.286], [0.764, 0.773, 0.527], [0.857, 0.195, 0.714], [0.236, 0.227, 0.473], [0.500, 0.000, 0.000], [0.969, 0.305, 0.938], [0.031, 0.695, 0.062], [0.673, 0.485, 0.346], [0.327, 0.515, 0.654], [0.908, 0.703, 0.816], [0.092, 0.297, 0.184]], "total_magnetization_mub_per_cell": 0.46, "sg": "C2/m, No. 12", "formation_energy_uncorrected_ev_per_atom": -0.49, "total_energy_ev_per_cell": -54.52}

=====

(11)
{"formula": "Tb4Pm3Sb4", "functional": "GGA-PBE", "state": "optimized geometry", "lattice_angstrom": [[-3.622, -2.073, 1.195], [0.088, 0.217, -7.239], [5.564, -9.852, -0.228]], "species": ["Tb", "Tb", "Tb", "Tb", "Pm", "Pm", "Pm", "Sb", "Sb", "Sb", "Sb"], "fractional_positions": [[0.065, 0.130, 0.755], [0.658, 0.315, 0.500], [0.594, 0.187, 0.000], [0.065, 0.130, 0.245], [0.363, 0.727, 0.351], [0.295, 0.590, 0.000], [0.363, 0.727, 0.649], [0.729, 0.458, 0.219], [0.950, 0.901, 0.000], [0.987, 0.974, 0.500], [0.729, 0.458, 0.781]], "total_magnetization_mub_per_cell": 0.00, "sg": "Amm2, No. 38", "formation_energy_uncorrected_ev_per_atom": -0.74, "total_energy_ev_per_cell": -57.39}

=====

(12)
{"formula": "TbPm2Sb", "functional": "GGA-PBE", "state": "optimized geometry", "lattice_angstrom": [[-4.008, 0.027, 1.299], [-0.776, -3.428, -2.323], [1.692, -3.979, 5.306]], "species": ["Tb", "Sb", "Pm", "Pm"], "fractional_positions": [[0.500, 0.500, 0.000], [0.500, 0.500, 0.500], [0.000, 0.000, 0.729], [0.000, 0.000, 0.271]], "total_magnetization_mub_per_cell": 0.00, "de_polymorph_ev_per_fu": 0.18, "sg": "P4/mmm, No. 123", "formation_energy_uncorrected_ev_per_atom": -0.50, "total_energy_ev_per_cell": -20.26}